Below is CuSi2Os after structural relaxation, with properties calculated at the PBE level.

Computed properties:
E_tot, eV/atom: -6.5902
Energy above the most stable polymorph in this dataset, eV per atom: 0.041
Magnetic moment, Bohr magnetons per cell: 0.0

Geometry as CIF:
```
data_CuSi2Os
_chemical_formula_sum 'Cu1 Si2 Os1'
_cell_length_a 4.845
_cell_length_b 4.845
_cell_length_c 3.992
_cell_angle_alpha 84.08
_cell_angle_beta 84.08
_cell_angle_gamma 35.16
_symmetry_space_group_name_H-M 'P 1'
_symmetry_Int_Tables_number 1
loop_
_symmetry_equiv_pos_as_xyz
'x,y,z'
loop_
_atom_site_label
_atom_site_type_symbol
_atom_site_fract_x
_atom_site_fract_y
_atom_site_fract_z
Si1 Si 0.723 0.723 0.678
Os1 Os 0.287 0.287 0.157
Cu1 Cu 0.478 0.478 0.590
Si2 Si 0.012 0.012 0.074
```

***

Below is CuSi2Os after structural relaxation, with properties calculated at the PBE level.

Computed properties:
E_tot, eV/atom: -6.5752
Energy above the most stable polymorph in this dataset, eV per atom: 0.056
Magnetic moment, Bohr magnetons per cell: 0.0

Geometry as CIF:
```
data_CuSi2Os
_chemical_formula_sum 'Cu1 Si2 Os1'
_cell_length_a 7.839
_cell_length_b 7.839
_cell_length_c 7.839
_cell_angle_alpha 20.94
_cell_angle_beta 20.94
_cell_angle_gamma 20.94
_symmetry_space_group_name_H-M 'P 1'
_symmetry_Int_Tables_number 1
loop_
_symmetry_equiv_pos_as_xyz
'x,y,z'
loop_
_atom_site_label
_atom_site_type_symbol
_atom_site_fract_x
_atom_site_fract_y
_atom_site_fract_z
Cu1 Cu 0.250 0.250 0.250
Os1 Os 0.750 0.750 0.750
Si1 Si 0.001 0.001 0.001
Si2 Si 0.499 0.499 0.499
```

***

Below is CuSiOs2 after structural relaxation, with properties calculated at the PBE level.

Computed properties:
E_tot, eV/atom: -7.5618
Magnetic moment, Bohr magnetons per cell: 0.0

Geometry as CIF:
```
data_CuSiOs2
_chemical_formula_sum 'Cu1 Si1 Os2'
_cell_length_a 2.720
_cell_length_b 2.720
_cell_length_c 8.577
_cell_angle_alpha 90.00
_cell_angle_beta 90.00
_cell_angle_gamma 118.55
_symmetry_space_group_name_H-M 'P 1'
_symmetry_Int_Tables_number 1
loop_
_symmetry_equiv_pos_as_xyz
'x,y,z'
loop_
_atom_site_label
_atom_site_type_symbol
_atom_site_fract_x
_atom_site_fract_y
_atom_site_fract_z
Cu1 Cu 0.500 0.500 0.733
Os1 Os 0.500 0.500 0.269
Os2 Os 0.000 0.000 0.998
Si1 Si 0.000 0.000 0.500
```

***

The evaluated raw formation energy for the records listed, in turn: -47, -32, 433 meV per atom.